Record 1
A plane-wave DFT calculation with meta-GGA SCAN was carried out for a PBEsol-optimized structure of TaAlHg.

Space group ... No. 216
Spin magnetization ... 0.0 Bohr magnetons per cell
E above lowest polymorph ... 83 meV/atom
E_form ... 2.143 eV per formula unit

```
TaAlHg
1.0
0.000 3.185 3.185
3.185 0.000 3.185
3.185 3.185 0.000
Ta Al Hg
1 1 1
direct
0.000 0.000 0.000 Ta
0.750 0.750 0.750 Al
0.250 0.250 0.250 Hg
```

---

Record 2
A plane-wave DFT calculation with meta-GGA SCAN was carried out for a PBEsol-optimized structure of BeAlRh.

Space group ... No. 156
Spin magnetization ... 0.0 Bohr magnetons per cell
E_form ... -1.062 eV per formula unit

```
BeAlRh
1.0
2.746 0.000 0.000
-1.373 2.378 0.000
0.000 0.000 5.774
Be Al Rh
1 1 1
direct
0.000 0.000 0.000 Be
0.667 0.333 0.354 Al
0.333 0.667 0.703 Rh
```

---

Record 3
A plane-wave DFT calculation with meta-GGA SCAN was carried out for a PBEsol-optimized structure of RbGa3Pb.

Space group ... No. 221
Spin magnetization ... 0.0 Bohr magnetons per cell
E_form ... 1.902 eV per formula unit

```
RbGa3Pb
1.0
5.620 0.000 0.000
0.000 5.620 0.000
0.000 0.000 5.620
Rb Ga Pb
1 3 1
direct
0.000 0.000 0.000 Rb
0.000 0.500 0.500 Ga
0.500 0.000 0.500 Ga
0.500 0.500 0.000 Ga
0.500 0.500 0.500 Pb
```

---

Record 4
A plane-wave DFT calculation with meta-GGA SCAN was carried out for a PBEsol-optimized structure of RbNaPd3.

Space group ... No. 221
Spin magnetization ... 0.0 Bohr magnetons per cell
E_form ... 3.566 eV per formula unit

```
RbNaPd3
1.0
4.872 0.000 0.000
0.000 4.872 0.000
0.000 0.000 4.872
Rb Na Pd
1 1 3
direct
0.000 0.000 0.000 Rb
0.500 0.500 0.500 Na
0.000 0.500 0.500 Pd
0.500 0.000 0.500 Pd
0.500 0.500 0.000 Pd
```

---

Record 5
A plane-wave DFT calculation with meta-GGA SCAN was carried out for a PBEsol-optimized structure of TiAu3Br.

Space group ... No. 221
Uncorrected formation energy ... 1.136 eV/atom
Spin magnetization ... 2.7 Bohr magnetons per cell
E above lowest polymorph ... 489 meV/atom

```
TiAu3Br
1.0
4.926 0.000 0.000
0.000 4.926 0.000
0.000 0.000 4.926
Ti Au Br
1 3 1
direct
0.000 0.000 0.000 Ti
0.000 0.500 0.500 Au
0.500 0.000 0.500 Au
0.500 0.500 0.000 Au
0.500 0.500 0.500 Br
```

---

Record 6
A plane-wave DFT calculation with meta-GGA SCAN was carried out for a PBEsol-optimized structure of CaMgSi2.

Space group ... No. 38
Uncorrected formation energy ... -0.274 eV/atom
Spin magnetization ... 0.0 Bohr magnetons per cell

```
CaMgSi2
1.0
3.788 0.000 0.000
0.000 2.136 5.098
0.000 -2.136 5.098
Ca Mg Si
1 1 2
direct
0.000 0.000 0.000 Ca
0.500 0.283 0.283 Mg
0.000 0.717 0.717 Si
0.500 0.570 0.570 Si
```

---

Record 7
A plane-wave DFT calculation with meta-GGA SCAN was carried out for a PBEsol-optimized structure of MoIr2.

Space group ... No. 164
Spin magnetization ... 0.0 Bohr magnetons per cell
E_form ... 0.381 eV per formula unit

```
MoIr2
1.0
4.375 0.000 0.000
-2.187 3.788 0.000
0.000 0.000 2.674
Mo Ir
1 2
direct
0.000 0.000 0.000 Mo
0.333 0.667 0.264 Ir
0.667 0.333 0.736 Ir
```

---

Record 8
A plane-wave DFT calculation with meta-GGA SCAN was carried out for a PBEsol-optimized structure of ZnFeCo.

Space group ... No. 216
Spin magnetization ... 4.2 Bohr magnetons per cell
E above lowest polymorph ... 533 meV/atom
E_form ... 1.377 eV per formula unit

```
ZnFeCo
1.0
0.000 2.723 2.723
2.723 0.000 2.723
2.723 2.723 0.000
Zn Fe Co
1 1 1
direct
0.000 0.000 0.000 Zn
0.250 0.250 0.250 Fe
0.500 0.500 0.500 Co
```